No. 1
## TbDy2Zn5 (PBE)

Data for crystalline TbDy2Zn5 at its relaxed geometry.

Output
uncorrected energy: -2.8404 eV per atom
total magnetic moment: 0.000 μB per formula unit
ΔE_f: -30.4 kJ per mole of atoms
density of states at the Fermi level: 3.01 states/eV/f.u.

abc: 4.821 4.821 7.838
angles: 107.91 107.91 90.00
Atoms (fractional coordinates):
Dy: 0.267 0.267 0.534
Dy: 0.733 0.733 0.466
Zn: 0.500 0.500 0.000
Zn: 0.615 0.115 0.230
Zn: 0.385 0.885 0.770
Zn: 0.885 0.385 0.770
Zn: 0.115 0.615 0.230
Tb: 0.000 0.000 0.000



No. 2
## TmSc6Al (PBE)

Data for crystalline TmSc6Al at its relaxed geometry.

Output
uncorrected energy: -5.7702 eV per atom
total magnetic moment: 0.000 μB per formula unit
ΔE_f: 0.5 kJ per mole of atoms
density of states at the Fermi level: 11.83 states/eV/f.u.

abc: 5.757 5.757 9.036
angles: 121.21 121.21 94.02
Atoms (fractional coordinates):
Al: 0.500 0.500 0.500
Sc: 0.766 0.142 0.291
Sc: 0.455 0.455 0.801
Sc: 0.142 0.766 0.291
Sc: 0.858 0.234 0.709
Sc: 0.234 0.858 0.709
Sc: 0.545 0.545 0.199
Tm: 0.000 0.000 0.000



No. 3
## SmPuIn2 (PBE)

Data for crystalline SmPuIn2 at its relaxed geometry.

Output
uncorrected energy: -6.4141 eV per atom
total magnetic moment: 6.287 μB per formula unit
ΔE_f: -27.2 kJ per mole of atoms
density of states at the Fermi level: 11.65 states/eV/f.u.

abc: 4.614 4.856 4.856
angles: 90.00 90.00 90.00
Each line ends with the local moment (μB).
Atoms (fractional coordinates):
Sm: 0.500 0.000 0.000  0.20
Pu: 0.500 0.500 0.500  5.54
In: 0.000 0.000 0.500  0.00
In: 0.000 0.500 0.000  0.00